Tb2Si3IrPt4: optimized geometry, GGA-PBE.

Results
- M_tot (μB per formula unit) = 0.000
- SG = P-4m2 (115)
- E_form (uncorrected) (meV/atom) = -907.0
- DFT total energy (eV per cell) = -67.62
- Fermi-level density of states (states/eV per cell) = 8.383
- density (g/cm³) = 12.82

a b c (Å): 4.101 4.101 10.584
angles (deg): 90.00 90.00 90.00
Element x y z (fractional)
Tb: 0.000 0.500 0.246
Tb: 0.500 0.000 0.754
Si: 0.000 0.000 0.000
Si: 0.000 0.500 0.629
Si: 0.500 0.000 0.371
Ir: 0.500 0.500 0.000
Pt: 0.000 0.000 0.500
Pt: 0.000 0.500 0.848
Pt: 0.500 0.000 0.152
Pt: 0.500 0.500 0.500